(1)
Density functional theory data (GGA-PBE) for a relaxed structure of FeAg2Au.

The structure belongs to space group R-3m (No. 166, hexagonal axes); the cell edges are 2.8677, 2.8677 and 28.1728 Å and the angles 90.00°, 90.00° and 120.00°. The distinct sites, in fractional coordinates, are Fe at (0.0000, 0.0000, 0.0000), Ag at (0.0000, 0.0000, 0.2546) and Au at (0.0000, 0.0000, 0.5000).

The energy above the most stable polymorph in this dataset comes out at 8.3 kJ per mole of atoms. The formation enthalpy at 0 K comes out at 0.240 eV per atom.


(2)
Density functional theory data (GGA-PBE) for a relaxed structure of Fe2AgGeAu.

The structure belongs to space group P4/mmm (No. 123); the cell edges are 4.450, 4.450 and 4.772 Å and the angles 90.00°, 90.00° and 90.00°. The distinct sites, in fractional coordinates, are Fe at (0.000, 0.500, 0.000), Ag at (0.000, 0.000, 0.500), Ge at (0.000, 0.000, 0.000) and Au at (0.500, 0.500, 0.500).

The energy above the most stable polymorph in this dataset comes out at 0.0 kJ per mole of atoms. The formation enthalpy at 0 K comes out at 0.819 eV per atom.


(3)
Density functional theory data (GGA-PBE) for a relaxed structure of Fe2AgGeAu.

The structure belongs to space group P4/mmm (No. 123); the cell edges are 4.891, 4.891 and 4.707 Å and the angles 90.00°, 90.00° and 90.00°. The distinct sites, in fractional coordinates, are Fe at (0.000, 0.500, 0.000), Ag at (0.000, 0.000, 0.500), Ge at (0.500, 0.500, 0.500) and Au at (0.500, 0.500, 0.000).

The energy above the most stable polymorph in this dataset comes out at 29.2 kJ per mole of atoms. The formation enthalpy at 0 K comes out at 1.122 eV per atom.